[1]
Material: BeZnCuSn
Method: DFT, PBE
State: relaxed

For the total energy, the calculation gives -44.08 eV per cell.

It has space group F-43m (No. 216), with a = 6.299 Å, b = 6.299 Å, c = 6.299 Å, α = 90.00°, β = 90.00° and γ = 90.00°. The inequivalent atoms are Be at (0.000, 0.000, 0.000), Zn at (0.000, 0.000, 0.500), Cu at (0.250, 0.250, 0.750) and Sn at (0.250, 0.250, 0.250).

---

[2]
Material: TbErCd
Method: DFT, PBE
State: relaxed

For the total energy, the calculation gives -34.26 eV per cell. The value obtained for the spin magnetization is 0.0 μB per cell. The formation energy is 0.508 eV per atom.

It has space group F-43m (No. 216), with a = 7.176 Å, b = 7.176 Å, c = 7.176 Å, α = 90.00°, β = 90.00° and γ = 90.00°. The inequivalent atoms are Tb at (0.000, 0.000, 0.000), Er at (0.250, 0.250, 0.750) and Cd at (0.000, 0.000, 0.500).

---

[3]
Material: Sm2Sc2CI3Cl2
Method: DFT, PBE
State: relaxed

For the total energy, the calculation gives -104.50 eV per cell. The value obtained for the spin magnetization is 0.6 μB per cell.

It has space group C2/m (No. 12), with a = 17.610 Å, b = 3.849 Å, c = 8.272 Å, α = 90.00°, β = 103.30° and γ = 90.00°. The inequivalent atoms are Sm at (0.141, 0.000, 0.065), Sc at (0.002, 0.500, 0.820), C at (0.000, 0.000, 0.000), I at (0.000, 0.000, 0.500), I at (0.166, 0.500, 0.359) and Cl at (0.160, 0.500, 0.832).